Model P:
A plane-wave DFT calculation with GGA-PBE was carried out for crystalline CaEr2Th at its relaxed geometry.

Cell: 3.6246 3.6246 10.2099 Å, 90.00 90.00 90.00°
With the nearest neighbours (Å) after each atom.
Space group P4/mmm (No. 123)
Inequivalent atoms, fractional coordinates:
Ca: 0.0000 0.0000 0.0000  4 Ca 3.62, 8 Er 3.79
Er: 0.5000 0.5000 0.2740  4 Th 3.45, 4 Er 3.62, 4 Ca 3.79
Th: 0.0000 0.0000 0.5000  8 Er 3.45, 4 Th 3.62

Summary:
The volume is 33.5 Å³/atom. Its density of states at the Fermi level is 5.01 states/eV per cell.

---

Model Q:
A plane-wave DFT calculation with GGA-PBE was carried out for crystalline CaEr2Th at its relaxed geometry.

Cell: 3.5540 3.5540 37.0148 Å, 90.00 90.00 120.00°
With the nearest neighbours (Å) after each atom.
Space group R-3m (No. 166, hexagonal axes)
Inequivalent atoms, fractional coordinates:
Ca: 0.0000 0.0000 0.0000  2 Er 3.40, 6 Ca 3.55
Er: 0.0000 0.0000 0.0919  1 Ca 3.40, 3 Th 3.45, 6 Er 3.55
Th: 0.0000 0.0000 0.5000  6 Er 3.45, 6 Th 3.55

Summary:
The volume is 33.7 Å³/atom. Its density of states at the Fermi level is 16.41 states/eV per cell.

---

Model R:
A plane-wave DFT calculation with GGA-PBE was carried out for crystalline CaEr2Th at its relaxed geometry.

Cell: 5.8526 5.8526 3.8176 Å, 90.00 90.00 90.00°
With the nearest neighbours (Å) after each atom.
Space group P4/mmm (No. 123)
Inequivalent atoms, fractional coordinates:
Ca: 0.0000 0.0000 0.0000  8 Er 3.49, 2 Ca 3.82
Er: 0.0000 0.5000 0.5000  4 Th 3.49, 4 Ca 3.49, 2 Er 3.82
Th: 0.5000 0.5000 0.0000  8 Er 3.49, 2 Th 3.82

Summary:
The volume is 32.7 Å³/atom. Its density of states at the Fermi level is 6.12 states/eV per cell.

---

Most stable one: model P, least stable one: model R.

---

Model P:
A plane-wave DFT calculation with GGA-PBE was carried out for crystalline CaEr2Tl at its relaxed geometry.

Cell: 4.8948 4.8948 4.8373 Å, 90.00 90.00 90.00°
With the nearest neighbours (Å) after each atom.
Space group P4/mmm (No. 123)
Inequivalent atoms, fractional coordinates:
Ca: 0.0000 0.0000 0.0000  8 Er 3.44, 4 Tl 3.46
Er: 0.0000 0.5000 0.5000  4 Tl 3.44, 4 Ca 3.44, 4 Er 3.46
Tl: 0.5000 0.5000 0.0000  8 Er 3.44, 4 Ca 3.46

Summary:
The volume is 29.0 Å³/atom. Its density of states at the Fermi level is 3.62 states/eV per cell.

---

Model Q:
A plane-wave DFT calculation with GGA-PBE was carried out for crystalline CaEr2Tl at its relaxed geometry.

Cell: 3.6507 3.6507 9.4808 Å, 90.00 90.00 90.00°
With the nearest neighbours (Å) after each atom.
Space group P4/mmm (No. 123)
Inequivalent atoms, fractional coordinates:
Ca: 0.0000 0.0000 0.0000  4 Ca 3.65, 8 Er 3.79
Er: 0.5000 0.5000 0.2922  4 Tl 3.25
Tl: 0.0000 0.0000 0.5000  8 Er 3.25

Summary:
The volume is 31.6 Å³/atom. Its density of states at the Fermi level is 5.44 states/eV per cell.

---

Model R:
A plane-wave DFT calculation with GGA-PBE was carried out for crystalline CaEr2Tl at its relaxed geometry.

Cell: 3.5759 3.5759 35.2909 Å, 90.00 90.00 120.00°
With the nearest neighbours (Å) after each atom.
Space group R-3m (No. 166, hexagonal axes)
Inequivalent atoms, fractional coordinates:
Ca: 0.0000 0.0000 0.0000  2 Er 3.39, 6 Ca 3.58
Er: 0.0000 0.0000 0.0962  3 Tl 3.23, 1 Ca 3.39, 6 Er 3.58
Tl: 0.0000 0.0000 0.5000  6 Er 3.23, 6 Tl 3.58

Summary:
The volume is 32.6 Å³/atom. Its density of states at the Fermi level is 15.41 states/eV per cell.

---

Model S:
A plane-wave DFT calculation with GGA-PBE was carried out for crystalline CaEr2Tl at its relaxed geometry.

Cell: 7.8204 7.8204 7.8204 Å, 90.00 90.00 90.00°
With the nearest neighbours (Å) after each atom.
Space group F-43m (No. 216)
Inequivalent atoms, fractional coordinates:
Ca: 0.0000 0.0000 0.0000  4 Er 3.39, 4 Tl 3.39
Er: 0.0000 0.0000 0.5000  4 Tl 3.39, 4 Er 3.39
Er: 0.2500 0.2500 0.7500  4 Er 3.39, 4 Ca 3.39
Tl: 0.2500 0.2500 0.2500  4 Ca 3.39, 4 Er 3.39

Summary:
The volume is 29.9 Å³/atom. Its density of states at the Fermi level is 19.46 states/eV per cell.

---

Most stable one: model P, least stable one: model R.